# GaBr4N2 (PBE-GGA, relaxed)
# Formation energy (no corrections), meV per atom: 875.7
# Final energy, eV/atom: -2.891
# Crystal system: triclinic
# N(E_F), states/eV/atom: 0.263
data_GaBr4N2
_cell_length_a 3.6013
_cell_length_b 7.8905
_cell_length_c 8.0110
_cell_angle_alpha 118.75
_cell_angle_beta 92.70
_cell_angle_gamma 97.73
_symmetry_space_group_name_H-M 'P -1'
_symmetry_Int_Tables_number 2
loop_
_symmetry_equiv_pos_as_xyz
'x,y,z'
'-x,-y,-z'
loop_
_atom_site_label
_atom_site_type_symbol
_atom_site_fract_x
_atom_site_fract_y
_atom_site_fract_z
Ga1 Ga 0.0000 0.0000 0.0000
Br1 Br 0.1653 0.4238 0.2453
Br2 Br 0.4877 0.0344 0.7848
N1 N 0.2386 0.4555 0.6862